# GGA+U KVAgF6, optimized geometry
# Space-group type ... P1
# E ... -4.92 eV per atom
data_KVAgF6
_chemical_formula_sum 'K1 V1 Ag1 F6'
_cell_length_a 5.772
_cell_length_b 5.712
_cell_length_c 4.728
_cell_angle_alpha 91.00
_cell_angle_beta 92.31
_cell_angle_gamma 59.54
_symmetry_space_group_name_H-M 'P 1'
_symmetry_Int_Tables_number 1
loop_
_symmetry_equiv_pos_as_xyz
'x,y,z'
loop_
_atom_site_label
_atom_site_type_symbol
_atom_site_fract_x
_atom_site_fract_y
_atom_site_fract_z
K1 K 0.001 0.003 0.117
V1 V 0.334 0.335 0.442
Ag1 Ag 0.660 0.666 0.795
F1 F 0.022 0.445 0.202
F2 F 0.256 0.099 0.650
F3 F 0.641 0.247 0.682
F4 F 0.113 0.626 0.669
F5 F 0.439 0.541 0.231
F6 F 0.535 0.037 0.214

# GGA+U KVAg2F6, optimized geometry
# Space-group type ... P-1
# E ... -4.68 eV per atom
data_KVAg2F6
_chemical_formula_sum 'K1 V1 Ag2 F6'
_cell_length_a 6.208
_cell_length_b 6.188
_cell_length_c 6.105
_cell_angle_alpha 59.39
_cell_angle_beta 59.52
_cell_angle_gamma 60.08
_symmetry_space_group_name_H-M 'P 1'
_symmetry_Int_Tables_number 1
loop_
_symmetry_equiv_pos_as_xyz
'x,y,z'
loop_
_atom_site_label
_atom_site_type_symbol
_atom_site_fract_x
_atom_site_fract_y
_atom_site_fract_z
K1 K 0.816 0.816 0.551
V1 V 0.316 0.316 0.052
Ag1 Ag 0.546 0.545 0.364
Ag2 Ag 0.086 0.088 0.739
F1 F 0.498 0.230 0.289
F2 F 0.235 0.978 0.280
F3 F 0.980 0.498 0.288
F4 F 0.398 0.654 0.823
F5 F 0.653 0.134 0.815
F6 F 0.134 0.402 0.814

# GGA+U KVAg2F8, optimized geometry
# Space-group type ... P-1
# E ... -4.50 eV per atom
data_KVAg2F8
_chemical_formula_sum 'K1 V1 Ag2 F8'
_cell_length_a 4.890
_cell_length_b 5.408
_cell_length_c 7.351
_cell_angle_alpha 88.69
_cell_angle_beta 89.50
_cell_angle_gamma 96.04
_symmetry_space_group_name_H-M 'P 1'
_symmetry_Int_Tables_number 1
loop_
_symmetry_equiv_pos_as_xyz
'x,y,z'
loop_
_atom_site_label
_atom_site_type_symbol
_atom_site_fract_x
_atom_site_fract_y
_atom_site_fract_z
K1 K 0.000 0.000 0.500
V1 V 0.000 0.000 0.000
Ag1 Ag 0.477 0.501 0.747
Ag2 Ag 0.523 0.499 0.253
F1 F 0.148 0.810 0.179
F2 F 0.682 0.751 0.003
F3 F 0.845 0.187 0.179
F4 F 0.852 0.190 0.821
F5 F 0.318 0.249 0.997
F6 F 0.155 0.813 0.821
F7 F 0.532 0.734 0.498
F8 F 0.468 0.266 0.502

# GGA+U K4V3AgF12, optimized geometry
# Space-group type ... Im-3m
# E ... -5.19 eV per atom
data_K4V3AgF12
_chemical_formula_sum 'K4 V3 Ag1 F12'
_cell_length_a 7.440
_cell_length_b 7.440
_cell_length_c 7.440
_cell_angle_alpha 109.47
_cell_angle_beta 109.47
_cell_angle_gamma 109.47
_symmetry_space_group_name_H-M 'P 1'
_symmetry_Int_Tables_number 1
loop_
_symmetry_equiv_pos_as_xyz
'x,y,z'
loop_
_atom_site_label
_atom_site_type_symbol
_atom_site_fract_x
_atom_site_fract_y
_atom_site_fract_z
K1 K 0.500 0.500 0.500
K2 K 0.000 0.000 0.500
K3 K 0.500 0.000 0.000
K4 K 0.000 0.500 0.000
V1 V 0.500 0.000 0.500
V2 V 0.500 0.500 0.000
V3 V 0.000 0.500 0.500
Ag1 Ag 0.000 0.000 0.000
F1 F 0.250 0.500 0.750
F2 F 0.729 0.000 0.729
F3 F 0.271 0.000 0.271
F4 F 0.750 0.500 0.250
F5 F 0.729 0.729 0.000
F6 F 0.271 0.271 0.000
F7 F 0.750 0.250 0.500
F8 F 0.250 0.750 0.500
F9 F 0.500 0.250 0.750
F10 F 0.000 0.729 0.729
F11 F 0.500 0.750 0.250
F12 F 0.000 0.271 0.271

# GGA+U K2VAgF6, optimized geometry
# Space-group type ... C2/m
# E ... -4.90 eV per atom
data_K2VAgF6
_chemical_formula_sum 'K2 V1 Ag1 F6'
_cell_length_a 6.233
_cell_length_b 6.065
_cell_length_c 6.070
_cell_angle_alpha 119.98
_cell_angle_beta 119.09
_cell_angle_gamma 90.00
_symmetry_space_group_name_H-M 'P 1'
_symmetry_Int_Tables_number 1
loop_
_symmetry_equiv_pos_as_xyz
'x,y,z'
loop_
_atom_site_label
_atom_site_type_symbol
_atom_site_fract_x
_atom_site_fract_y
_atom_site_fract_z
K1 K 0.236 0.245 0.489
K2 K 0.764 0.755 0.511
V1 V 0.000 0.500 0.000
Ag1 Ag 0.500 0.000 0.000
F1 F 0.301 0.718 0.435
F2 F 0.171 0.222 0.903
F3 F 0.829 0.319 0.097
F4 F 0.171 0.681 0.903
F5 F 0.829 0.778 0.097
F6 F 0.699 0.282 0.565

# GGA+U KAg2WF8, optimized geometry
# Space-group type ... P-3m1
# E ... -4.34 eV per atom
data_KAg2WF8
_chemical_formula_sum 'K1 Ag2 W1 F8'
_cell_length_a 5.370
_cell_length_b 5.370
_cell_length_c 8.616
_cell_angle_alpha 90.00
_cell_angle_beta 90.00
_cell_angle_gamma 120.00
_symmetry_space_group_name_H-M 'P 1'
_symmetry_Int_Tables_number 1
loop_
_symmetry_equiv_pos_as_xyz
'x,y,z'
loop_
_atom_site_label
_atom_site_type_symbol
_atom_site_fract_x
_atom_site_fract_y
_atom_site_fract_z
K1 K 0.000 0.000 0.500
Ag1 Ag 0.667 0.333 0.274
Ag2 Ag 0.333 0.667 0.726
W1 W 0.000 0.000 0.000
F1 F 0.835 0.670 0.862
F2 F 0.330 0.165 0.862
F3 F 0.835 0.165 0.862
F4 F 0.165 0.330 0.138
F5 F 0.670 0.835 0.138
F6 F 0.165 0.835 0.138
F7 F 0.667 0.333 0.519
F8 F 0.333 0.667 0.481

# GGA+U KAgWF6, optimized geometry
# Space-group type ... P-31c
# E ... -4.78 eV per atom
data_KAgWF6
_chemical_formula_sum 'K2 Ag2 W2 F12'
_cell_length_a 6.391
_cell_length_b 6.391
_cell_length_c 8.735
_cell_angle_alpha 90.00
_cell_angle_beta 90.00
_cell_angle_gamma 120.00
_symmetry_space_group_name_H-M 'P 1'
_symmetry_Int_Tables_number 1
loop_
_symmetry_equiv_pos_as_xyz
'x,y,z'
loop_
_atom_site_label
_atom_site_type_symbol
_atom_site_fract_x
_atom_site_fract_y
_atom_site_fract_z
K1 K 0.333 0.667 0.250
K2 K 0.667 0.333 0.750
Ag1 Ag 0.000 0.000 0.000
Ag2 Ag 0.000 0.000 0.500
W1 W 0.667 0.333 0.250
W2 W 0.333 0.667 0.750
F1 F 0.679 0.605 0.124
F2 F 0.926 0.321 0.124
F3 F 0.321 0.926 0.624
F4 F 0.074 0.679 0.876
F5 F 0.395 0.321 0.376
F6 F 0.926 0.605 0.376
F7 F 0.605 0.926 0.876
F8 F 0.679 0.074 0.376
F9 F 0.074 0.395 0.624
F10 F 0.395 0.074 0.124
F11 F 0.605 0.679 0.624
F12 F 0.321 0.395 0.876

Look up the E of the seventh one. -4.78 eV per atom